(A)
A relaxed structure of Y3NbC. Source: Alexandria via LeMat-Bulk, functional PBE-GGA.

a b c (Å): 5.307 5.307 5.307
angles (deg): 90.00 90.00 90.00
Fractional positions:
Y 0.000 0.500 0.000
Y 0.000 0.000 0.500
Y 0.500 0.000 0.000
Nb 0.000 0.000 0.000
C 0.500 0.500 0.500

Output
DOS at the Fermi energy ... 4.9 states/eV per cell
Symmetry ... Pm-3m


(B)
A relaxed structure of Y3NbC. Source: Alexandria via LeMat-Bulk, functional PBE-GGA.

a b c (Å): 4.929 4.929 4.929
angles (deg): 90.00 90.00 90.00
Site moments in Bohr magnetons follow the coordinates.
Fractional positions:
Y 0.000 0.500 0.000  0.12
Y 0.000 0.000 0.500  0.17
Y 0.500 0.000 0.000  0.07
Nb 0.500 0.500 0.500  1.89
C 0.000 0.000 0.000  0.10

Output
DOS at the Fermi energy ... 6.4 states/eV per cell
Symmetry ... Pm-3m


Sorted by energy, starting with the most stable: (B), (A).


(A)
A relaxed structure of Y2NbZnC. Source: Alexandria via LeMat-Bulk, functional PBE-GGA.

a b c (Å): 4.932 4.932 4.268
angles (deg): 90.00 90.00 90.00
Site moments in Bohr magnetons follow the coordinates.
Fractional positions:
Y 0.000 0.500 0.000  0.08
Y 0.500 0.000 0.000  0.08
C 0.000 0.000 0.000  -0.02
Nb 0.000 0.000 0.500  0.80
Zn 0.500 0.500 0.500  0.00

Output
DOS at the Fermi energy ... 4.3 states/eV per cell
Symmetry ... P4/mmm


(B)
A relaxed structure of Y2NbZnC. Source: Alexandria via LeMat-Bulk, functional PBE-GGA.

a b c (Å): 5.482 5.482 4.154
angles (deg): 90.00 90.00 90.00
Fractional positions:
Y 0.000 0.500 0.000
Y 0.500 0.000 0.000
C 0.000 0.000 0.500
Nb 0.000 0.000 0.000
Zn 0.500 0.500 0.500

Output
DOS at the Fermi energy ... 3.9 states/eV per cell
Symmetry ... P4/mmm


Sorted by energy, starting with the most stable: (A), (B).


(A)
A relaxed structure of Nb2ZnC. Source: Alexandria via LeMat-Bulk, functional PBE-GGA.

a b c (Å): 6.423 6.423 5.370
angles (deg): 53.27 53.27 90.00
Fractional positions:
C 0.500 0.500 0.000
C 0.250 0.750 0.500
Nb 0.569 0.125 0.250
Nb 0.181 0.625 0.250
Nb 0.375 0.431 0.750
Nb 0.875 0.819 0.750
Zn 0.000 0.000 0.000
Zn 0.750 0.250 0.500

Output
DOS at the Fermi energy ... 1.3 states/eV per cell
Symmetry ... I-42d


(B)
A relaxed structure of Nb2ZnC. Source: Alexandria via LeMat-Bulk, functional PBE-GGA.

a b c (Å): 3.102 5.532 7.213
angles (deg): 97.73 102.41 90.02
Fractional positions:
Nb 0.096 0.998 0.480
Nb 0.417 0.107 0.123
Nb 0.921 0.605 0.130
Nb 0.592 0.500 0.472
Zn 0.753 0.282 0.798
Zn 0.759 0.823 0.804
C 0.008 0.300 0.305
C 0.505 0.804 0.298

Output
DOS at the Fermi energy ... 4.2 states/eV per cell
Symmetry ... P-1


Sorted by energy, starting with the most stable: (B), (A).


(A)
A relaxed structure of Nb2ZnC. Source: Alexandria via LeMat-Bulk, functional PBE-GGA.

a b c (Å): 4.270 4.270 4.270
angles (deg): 60.00 60.00 60.00
Fractional positions:
C 0.000 0.000 0.000
Nb 0.250 0.250 0.250
Nb 0.750 0.750 0.750
Zn 0.500 0.500 0.500

Output
DOS at the Fermi energy ... 4.7 states/eV per cell
Symmetry ... Fm-3m


(B)
A relaxed structure of Nb2ZnC. Source: Alexandria via LeMat-Bulk, functional PBE-GGA.

a b c (Å): 3.177 3.134 7.172
angles (deg): 103.82 90.00 120.46
Fractional positions:
Nb 0.269 0.037 0.323
Nb 0.731 0.963 0.677
Zn 0.500 0.500 0.000
C 0.000 0.500 0.500

Output
DOS at the Fermi energy ... 2.1 states/eV per cell
Symmetry ... C2/m


Sorted by energy, starting with the most stable: (B), (A).